This record from Alexandria describes crystalline BaSe4Cl at its relaxed geometry. The functional is PBE-GGA.

Cell lengths 5.9244, 5.9244, 5.9244 Å; angles 60.00, 60.00, 60.00 degrees
Fractional positions:
Ba 0.7500 0.7500 0.7500
Se 0.8779 0.3740 0.3740
Se 0.3740 0.3740 0.8779
Se 0.3740 0.8779 0.3740
Se 0.3740 0.3740 0.3740
Cl 0.0000 0.0000 0.0000

Computed properties:
Its crystal system is cubic. Its uncorrected formation energy is -3.4 eV/f.u.